Compound: BeTeN2
Source: the Alexandria database
Functional: GGA-PBE
Structure: optimized geometry

a b c (Å): 5.7438 5.7438 5.7438
angles (deg): 35.52 35.52 35.52
Last column: nearest neighbours and their distance in Å.
Fractional positions:
Be: 0.0000 0.0000 0.0000  2 N 1.53
Te: 0.5000 0.5000 0.5000  6 N 2.33
N: 0.9049 0.9049 0.9049  1 Be 1.53
N: 0.0951 0.0951 0.0951  1 Be 1.53

Its raw formation energy is 1.94 eV per formula unit. For the relative energy among the computed polymorphs, the calculation gives 32 meV per atom.

Compound: BeTeN3
Source: the Alexandria database
Functional: GGA-PBE
Structure: optimized geometry

a b c (Å): 3.6143 3.6143 3.6143
angles (deg): 90.00 90.00 90.00
Last column: nearest neighbours and their distance in Å.
Fractional positions:
Be: 0.0000 0.0000 0.0000  6 N 1.81
Te: 0.5000 0.5000 0.5000  12 N 2.56
N: 0.0000 0.5000 0.0000  2 Be 1.81
N: 0.0000 0.0000 0.5000  2 Be 1.81
N: 0.5000 0.0000 0.0000  2 Be 1.81

Its raw formation energy is 7.33 eV per formula unit.

Compound: Be2TeN
Source: the Alexandria database
Functional: GGA-PBE
Structure: optimized geometry

a b c (Å): 4.1900 4.1900 4.1900
angles (deg): 60.00 60.00 60.00
Last column: nearest neighbours and their distance in Å.
Fractional positions:
Be: 0.2500 0.2500 0.2500  4 Te 2.57, 4 N 2.57
Be: 0.7500 0.7500 0.7500  4 Te 2.57, 4 N 2.57
Te: 0.5000 0.5000 0.5000  8 Be 2.57
N: 0.0000 0.0000 0.0000  8 Be 2.57

Its raw formation energy is 5.43 eV per formula unit. For the relative energy among the computed polymorphs, the calculation gives 1654 meV per atom.

Compound: BeTeN3
Source: the Alexandria database
Functional: GGA-PBE
Structure: optimized geometry

a b c (Å): 3.9071 3.9071 3.9071
angles (deg): 90.00 90.00 90.00
Last column: nearest neighbours and their distance in Å.
Fractional positions:
Be: 0.5000 0.5000 0.5000  12 N 2.76
Te: 0.0000 0.0000 0.0000  6 N 1.95
N: 0.0000 0.5000 0.0000  2 Te 1.95
N: 0.0000 0.0000 0.5000  2 Te 1.95
N: 0.5000 0.0000 0.0000  2 Te 1.95

Its raw formation energy is 9.85 eV per formula unit.

Compound: BeTeN2
Source: the Alexandria database
Functional: GGA-PBE
Structure: optimized geometry

a b c (Å): 3.9141 3.9141 3.9141
angles (deg): 60.00 60.00 60.00
Last column: nearest neighbours and their distance in Å.
Fractional positions:
Be: 0.0000 0.0000 0.0000  8 N 2.40
Te: 0.5000 0.5000 0.5000  8 N 2.40
N: 0.2500 0.2500 0.2500  4 Be 2.40, 4 Te 2.40
N: 0.7500 0.7500 0.7500  4 Be 2.40, 4 Te 2.40

Its raw formation energy is 6.00 eV per formula unit. For the relative energy among the computed polymorphs, the calculation gives 1048 meV per atom.

Compound: BeTeN2
Source: the Alexandria database
Functional: GGA-PBE
Structure: optimized geometry

a b c (Å): 4.6424 4.6424 5.5570
angles (deg): 65.31 65.31 90.00
Last column: nearest neighbours and their distance in Å.
Fractional positions:
Be: 0.5000 0.5000 0.0000  4 N 1.78
Be: 0.2500 0.7500 0.5000  4 N 1.78
Te: 0.0000 0.0000 0.0000  4 N 2.26
Te: 0.7500 0.2500 0.5000  4 N 2.26
N: 0.5344 0.1250 0.2500  2 Be 1.78
N: 0.2156 0.6250 0.2500  2 Be 1.78
N: 0.3750 0.4656 0.7500  2 Be 1.78
N: 0.8750 0.7844 0.7500  2 Be 1.78

Its raw formation energy is 1.81 eV per formula unit. For the relative energy among the computed polymorphs, the calculation gives 0 meV per atom.

Density values, unit g/cm3, following the record order: 4.8 6.3 5.1 5.0 6.4 5.7.
N(E_F) values, unit states/eV/atom, following the record order: 0.34 0.70 0.60 0.44 0.34 0.36.
Magnetic moment values, unit μB per formula unit, following the record order: 0.0 1.1 0.0 0.0 0.0 0.0.